1.
# Ca3ErTl4

Crystalline Ca3ErTl4 at its relaxed geometry (PBE, the Alexandria database).

Cell: 3.827 3.827 15.664 Å, 90.00 90.00 90.00°
Positions (direct):
Tl: 0.000 0.000 0.627
Tl: 0.000 0.000 0.880
Tl: 0.000 0.000 0.373
Tl: 0.000 0.000 0.120
Ca: 0.500 0.500 0.753
Ca: 0.500 0.500 0.500
Ca: 0.500 0.500 0.247
Er: 0.500 0.500 0.000

=====

2.
# CaEr2Tl

Crystalline CaEr2Tl at its relaxed geometry (PBE, the Alexandria database).

Summary:
The calculation puts the relative energy among the computed polymorphs at 0.048 eV/atom.

Cell: 3.651 3.651 9.481 Å, 90.00 90.00 90.00°
Positions (direct):
Tl: 0.500 0.500 0.000
Er: 0.000 0.000 0.208
Er: 0.000 0.000 0.792
Ca: 0.500 0.500 0.500

=====

3.
# Ca2ErTl9

Crystalline Ca2ErTl9 at its relaxed geometry (PBE, the Alexandria database).

Cell: 4.827 4.827 14.461 Å, 90.00 90.00 90.00°
Positions (direct):
Ca: 0.000 0.000 0.671
Ca: 0.000 0.000 0.329
Tl: 0.000 0.500 0.162
Tl: 0.500 0.500 0.334
Tl: 0.500 0.000 0.838
Tl: 0.500 0.500 0.000
Tl: 0.500 0.500 0.666
Tl: 0.500 0.000 0.162
Tl: 0.000 0.500 0.838
Tl: 0.000 0.500 0.500
Tl: 0.500 0.000 0.500
Er: 0.000 0.000 0.000

=====

4.
# Ca4ErTl15

Crystalline Ca4ErTl15 at its relaxed geometry (PBE, the Alexandria database).

Cell: 4.834 4.834 24.271 Å, 90.00 90.00 90.00°
Positions (direct):
Tl: 0.500 0.500 0.802
Tl: 0.500 0.000 0.097
Tl: 0.000 0.500 0.903
Tl: 0.500 0.000 0.298
Tl: 0.500 0.000 0.702
Tl: 0.500 0.500 0.398
Tl: 0.000 0.500 0.500
Tl: 0.500 0.500 0.602
Tl: 0.000 0.500 0.702
Tl: 0.000 0.500 0.097
Tl: 0.500 0.000 0.903
Tl: 0.500 0.500 0.000
Tl: 0.000 0.500 0.298
Tl: 0.500 0.000 0.500
Tl: 0.500 0.500 0.198
Ca: 0.000 0.000 0.601
Ca: 0.000 0.000 0.805
Ca: 0.000 0.000 0.195
Ca: 0.000 0.000 0.399
Er: 0.000 0.000 0.000

=====

5.
# Ca2ErTl4

Crystalline Ca2ErTl4 at its relaxed geometry (PBE, the Alexandria database).

Cell: 5.321 5.321 8.389 Å, 108.49 108.49 90.00°
Positions (direct):
Ca: 0.252 0.252 0.503
Ca: 0.748 0.748 0.497
Tl: 0.611 0.111 0.222
Tl: 0.111 0.611 0.222
Tl: 0.889 0.389 0.778
Tl: 0.389 0.889 0.778
Er: 0.000 0.000 0.000

=====

6.
# CaEr2TmTl4

Crystalline CaEr2TmTl4 at its relaxed geometry (PBE, the Alexandria database).

Cell: 5.363 5.363 9.296 Å, 73.24 73.24 60.00°
Positions (direct):
Tm: 0.500 0.500 0.500
Tl: 0.623 0.623 0.131
Tl: 0.873 0.873 0.380
Tl: 0.377 0.377 0.869
Tl: 0.127 0.127 0.620
Er: 0.251 0.251 0.246
Er: 0.749 0.749 0.754
Ca: 0.000 0.000 0.000

=====

no.,E_form (meV per atom),raw total energy (eV/f.u.),magnetization (μB/cell)
1,-409,-23.3,0.0
2,-75,-13.8,0.0
3,-221,-32.5,0.0
4,-232,-52.7,0.0
5,-273,-19.9,0.0
6,-330,-27.7,0.0